(1)
VASP calculation (GGA-PBE) on LiYHo2 after structural relaxation.

Cell lengths 11.324, 11.324, 11.324 Å; angles 17.81, 17.81, 17.81 degrees
Fractional coordinates of all 4 atoms:
Li (0.000, 0.000, 0.000)
Y (0.167, 0.167, 0.167)
Ho (0.415, 0.415, 0.415)
Ho (0.585, 0.585, 0.585)

Computed properties:
Space group   R3m, No. 160
Energy above the most stable polymorph in this dataset   26 meV per atom

=====

(2)
VASP calculation (GGA-PBE) on Zr2VOs after structural relaxation.

Cell lengths 4.688, 4.688, 3.296 Å; angles 90.00, 90.00, 90.00 degrees
Fractional coordinates of all 4 atoms:
Zr (0.000, 0.500, 0.000)
Zr (0.500, 0.000, 0.000)
V (0.000, 0.000, 0.500)
Os (0.500, 0.500, 0.500)

Computed properties:
Space group   P4/mmm, No. 123
Raw total energy   -9.575 eV/atom

=====

(3)
VASP calculation (GGA-PBE) on FeSi2Ir after structural relaxation.

Cell lengths 8.261, 8.261, 8.261 Å; angles 153.21, 153.21, 38.25 degrees
Fractional coordinates of all 8 atoms:
Fe (0.000, 0.000, 0.000)
Fe (0.750, 0.250, 0.500)
Si (0.097, 0.625, 0.972)
Si (0.375, 0.347, 0.472)
Si (0.653, 0.125, 0.028)
Si (0.875, 0.903, 0.528)
Ir (0.250, 0.750, 0.500)
Ir (0.500, 0.500, 0.000)

Computed properties:
Space group   I-42d, No. 122
ΔE_f (raw)   -0.079 eV per atom

=====

(4)
VASP calculation (GGA-PBE) on Ac2ErP3Pd12 after structural relaxation.

Cell lengths 7.562, 7.562, 7.562 Å; angles 69.75, 69.75, 69.75 degrees
Fractional coordinates of all 18 atoms:
Ac (0.106, 0.106, 0.106)
Ac (0.894, 0.894, 0.894)
Er (0.500, 0.500, 0.500)
P (0.000, 0.500, 0.500)
P (0.500, 0.000, 0.500)
P (0.500, 0.500, 0.000)
Pd (0.114, 0.643, 0.643)
Pd (0.213, 0.213, 0.631)
Pd (0.213, 0.631, 0.213)
Pd (0.357, 0.357, 0.886)
Pd (0.357, 0.886, 0.357)
Pd (0.369, 0.787, 0.787)
Pd (0.631, 0.213, 0.213)
Pd (0.643, 0.114, 0.643)
Pd (0.643, 0.643, 0.114)
Pd (0.787, 0.369, 0.787)
Pd (0.787, 0.787, 0.369)
Pd (0.886, 0.357, 0.357)

Computed properties:
Space group   R-3m, No. 166
Raw total energy   -5.591 eV/atom

=====

(5)
VASP calculation (GGA-PBE) on RbOs3N after structural relaxation.

Cell lengths 4.272, 4.272, 4.272 Å; angles 90.00, 90.00, 90.00 degrees
Fractional coordinates of all 5 atoms:
Rb (0.000, 0.000, 0.000)
Os (0.000, 0.500, 0.500)
Os (0.500, 0.000, 0.500)
Os (0.500, 0.500, 0.000)
N (0.500, 0.500, 0.500)

Computed properties:
Space group   Pm-3m, No. 221
Energy above the most stable polymorph in this dataset   0 meV per atom
ΔE_f (raw)   1.782 eV per atom

=====

(6)
VASP calculation (GGA-PBE) on CoIBr2 after structural relaxation.

Cell lengths 11.797, 11.797, 11.797 Å; angles 17.29, 17.29, 17.29 degrees
Fractional coordinates of all 4 atoms:
Co (0.000, 0.000, 0.000)
I (0.500, 0.500, 0.500)
Br (0.373, 0.373, 0.373)
Br (0.627, 0.627, 0.627)

Computed properties:
Space group   R-3m, No. 166
Energy above the most stable polymorph in this dataset   191 meV per atom
ΔE_f (raw)   -0.053 eV per atom

=====

(7)
VASP calculation (GGA-PBE) on MgTe after structural relaxation.

Cell lengths 7.527, 7.527, 7.395 Å; angles 116.20, 116.20, 31.46 degrees
Fractional coordinates of all 6 atoms:
Mg (0.000, 0.000, 0.000)
Mg (0.588, 0.588, 0.449)
Mg (0.725, 0.725, 0.049)
Te (0.082, 0.082, 0.728)
Te (0.203, 0.203, 0.338)
Te (0.394, 0.394, 0.088)

Computed properties:
Space group   Cm, No. 8
ΔE_f (raw)   -0.676 eV per atom

=====

(8)
VASP calculation (GGA-PBE) on HgBi3N after structural relaxation.

Cell lengths 5.011, 5.011, 5.011 Å; angles 90.00, 90.00, 90.00 degrees
Fractional coordinates of all 5 atoms:
Hg (0.000, 0.000, 0.000)
Bi (0.000, 0.500, 0.500)
Bi (0.500, 0.000, 0.500)
Bi (0.500, 0.500, 0.000)
N (0.500, 0.500, 0.500)

Computed properties:
Space group   Pm-3m, No. 221
Energy above the most stable polymorph in this dataset   134 meV per atom
ΔE_f (raw)   0.524 eV per atom

=====

(9)
VASP calculation (GGA-PBE) on Y2Zn3Pd5 after structural relaxation.

Cell lengths 8.493, 8.493, 8.493 Å; angles 96.80, 96.54, 140.16 degrees
Fractional coordinates of all 20 atoms:
Y (0.132, 0.225, 0.357)
Y (0.368, 0.725, 0.093)
Y (0.632, 0.275, 0.907)
Y (0.868, 0.775, 0.643)
Zn (0.137, 0.879, 0.016)
Zn (0.250, 0.750, 0.500)
Zn (0.363, 0.379, 0.742)
Zn (0.637, 0.621, 0.258)
Zn (0.750, 0.250, 0.500)
Zn (0.863, 0.121, 0.984)
Pd (0.020, 0.750, 0.270)
Pd (0.101, 0.665, 0.765)
Pd (0.250, 0.250, 0.000)
Pd (0.399, 0.165, 0.564)
Pd (0.480, 0.750, 0.730)
Pd (0.520, 0.250, 0.270)
Pd (0.601, 0.835, 0.436)
Pd (0.750, 0.750, 0.000)
Pd (0.899, 0.335, 0.235)
Pd (0.980, 0.250, 0.730)

Computed properties:
Space group   Ibam, No. 72
Raw total energy   -4.896 eV/atom

=====

(10)
VASP calculation (GGA-PBE) on RbNaTi3 after structural relaxation.

Cell lengths 5.220, 5.220, 5.220 Å; angles 90.00, 90.00, 90.00 degrees
Fractional coordinates of all 5 atoms:
Rb (0.000, 0.000, 0.000)
Na (0.500, 0.500, 0.500)
Ti (0.000, 0.500, 0.500)
Ti (0.500, 0.000, 0.500)
Ti (0.500, 0.500, 0.000)

Computed properties:
Space group   Pm-3m, No. 221
Energy above the most stable polymorph in this dataset   0 meV per atom

=====

(11)
VASP calculation (GGA-PBE) on Sb2TeOs after structural relaxation.

Cell lengths 8.369, 8.369, 8.369 Å; angles 26.17, 26.17, 26.17 degrees
Fractional coordinates of all 4 atoms:
Sb (0.230, 0.230, 0.230)
Sb (0.770, 0.770, 0.770)
Te (0.000, 0.000, 0.000)
Os (0.500, 0.500, 0.500)

Computed properties:
Space group   R-3m, No. 166
ΔE_f (raw)   0.344 eV per atom

=====

(12)
VASP calculation (GGA-PBE) on Cd4CoW after structural relaxation.

Cell lengths 5.461, 5.461, 5.461 Å; angles 60.00, 60.00, 60.00 degrees
Fractional coordinates of all 6 atoms:
Cd (0.125, 0.125, 0.125)
Cd (0.125, 0.125, 0.625)
Cd (0.125, 0.625, 0.125)
Cd (0.625, 0.125, 0.125)
Co (0.750, 0.750, 0.750)
W (0.500, 0.500, 0.500)

Computed properties:
Space group   F-43m, No. 216
Raw total energy   -3.022 eV/atom